1.
Below is a geometry-optimized BiRhSe2N structure, with properties calculated at the PBE level.

Values from the calculation:
* offset from the most stable computed form: 1276 meV/atom
* uncorrected formation energy: 1507.0 meV per atom

Cell and atoms, written as CIF:
```
data_BiRhSe2N
_chemical_formula_sum 'Bi1 Rh1 Se2 N1'
_cell_length_a 5.4844
_cell_length_b 5.4844
_cell_length_c 4.3043
_cell_angle_alpha 90.00
_cell_angle_beta 90.00
_cell_angle_gamma 90.00
_symmetry_space_group_name_H-M 'P 4/m m m'
_symmetry_Int_Tables_number 123
_symmetry_space_group_name_Hall '-P 4 2'
loop_
_atom_site_label
_atom_site_type_symbol
_atom_site_fract_x
_atom_site_fract_y
_atom_site_fract_z
Bi1 Bi 0.0000 0.0000 0.0000
Rh1 Rh 0.5000 0.5000 0.5000
Se1 Se 0.0000 0.5000 0.0000
N1 N 0.0000 0.0000 0.5000
```

***

2.
Below is a geometry-optimized HfZn2Ru structure, with properties calculated at the PBE level.

Values from the calculation:
* electronic total energy: -22.42 eV per formula unit

Cell and atoms, written as CIF:
```
data_HfZn2Ru
_chemical_formula_sum 'Hf4 Zn8 Ru4'
_cell_length_a 6.2832
_cell_length_b 6.2832
_cell_length_c 6.2832
_cell_angle_alpha 90.00
_cell_angle_beta 90.00
_cell_angle_gamma 90.00
_symmetry_space_group_name_H-M 'F m -3 m'
_symmetry_Int_Tables_number 225
_symmetry_space_group_name_Hall '-F 4 2 3'
loop_
_atom_site_label
_atom_site_type_symbol
_atom_site_fract_x
_atom_site_fract_y
_atom_site_fract_z
Hf1 Hf 0.0000 0.0000 0.0000
Zn1 Zn 0.2500 0.2500 0.2500
Ru1 Ru 0.0000 0.0000 0.5000
```

***

3.
Below is a geometry-optimized CeTiCd2 structure, with properties calculated at the PBE level.

Values from the calculation:
* electronic total energy: -15.89 eV per formula unit

Cell and atoms, written as CIF:
```
data_CeTiCd2
_chemical_formula_sum 'Ce1 Ti1 Cd2'
_cell_length_a 3.0576
_cell_length_b 3.0576
_cell_length_c 9.2563
_cell_angle_alpha 90.00
_cell_angle_beta 90.00
_cell_angle_gamma 90.00
_symmetry_space_group_name_H-M 'P 4/m m m'
_symmetry_Int_Tables_number 123
_symmetry_space_group_name_Hall '-P 4 2'
loop_
_atom_site_label
_atom_site_type_symbol
_atom_site_fract_x
_atom_site_fract_y
_atom_site_fract_z
Ce1 Ce 0.0000 0.0000 0.0000
Ti1 Ti 0.0000 0.0000 0.5000
Cd1 Cd 0.5000 0.5000 0.2778
```

***

Copy entry 1 word for word.
Below is a geometry-optimized BiRhSe2N structure, with properties calculated at the PBE level.

Values from the calculation:
* offset from the most stable computed form: 1276 meV/atom
* uncorrected formation energy: 1507.0 meV per atom

Cell and atoms, written as CIF:
```
data_BiRhSe2N
_chemical_formula_sum 'Bi1 Rh1 Se2 N1'
_cell_length_a 5.4844
_cell_length_b 5.4844
_cell_length_c 4.3043
_cell_angle_alpha 90.00
_cell_angle_beta 90.00
_cell_angle_gamma 90.00
_symmetry_space_group_name_H-M 'P 4/m m m'
_symmetry_Int_Tables_number 123
_symmetry_space_group_name_Hall '-P 4 2'
loop_
_atom_site_label
_atom_site_type_symbol
_atom_site_fract_x
_atom_site_fract_y
_atom_site_fract_z
Bi1 Bi 0.0000 0.0000 0.0000
Rh1 Rh 0.5000 0.5000 0.5000
Se1 Se 0.0000 0.5000 0.0000
N1 N 0.0000 0.0000 0.5000
```

***

What did the third record say?
Below is a geometry-optimized CeTiCd2 structure, with properties calculated at the PBE level.

Values from the calculation:
* electronic total energy: -15.89 eV per formula unit

Cell and atoms, written as CIF:
```
data_CeTiCd2
_chemical_formula_sum 'Ce1 Ti1 Cd2'
_cell_length_a 3.0576
_cell_length_b 3.0576
_cell_length_c 9.2563
_cell_angle_alpha 90.00
_cell_angle_beta 90.00
_cell_angle_gamma 90.00
_symmetry_space_group_name_H-M 'P 4/m m m'
_symmetry_Int_Tables_number 123
_symmetry_space_group_name_Hall '-P 4 2'
loop_
_atom_site_label
_atom_site_type_symbol
_atom_site_fract_x
_atom_site_fract_y
_atom_site_fract_z
Ce1 Ce 0.0000 0.0000 0.0000
Ti1 Ti 0.0000 0.0000 0.5000
Cd1 Cd 0.5000 0.5000 0.2778
```